Li3Cu2Ge2 after structural relaxation. Source: Alexandria via LeMat-Bulk, functional GGA-PBE.

a = 4.220 Å, b = 4.220 Å, c = 6.732 Å
α = 89.57°, β = 108.58°, γ = 120.24°
Atoms (fractional coordinates):
1 Li 0.000 0.000 0.000
2 Li 0.718 0.859 0.576
3 Li 0.282 0.141 0.424
4 Cu 0.445 0.724 0.169
5 Cu 0.555 0.276 0.831
6 Ge 0.167 0.582 0.749
7 Ge 0.833 0.418 0.251

Total magnetic moment (μB/atom): 0.00
Space-group type: C2/m (12)
Relative energy among the computed polymorphs (eV/atom): 0.000
Energy (eV per atom): -3.59
Calculated formation energy (eV per atom): -0.2839